Entry 1:
VASP calculation (PBE) on a geometry-optimized MgUBe structure.

Lattice parameters (Å, degrees): 6.490 6.490 6.490 90.00 90.00 90.00
Fractional coordinates of all 12 atoms:
Mg (0.000, 0.000, 0.000)
Mg (0.000, 0.500, 0.500)
Mg (0.500, 0.000, 0.500)
Mg (0.500, 0.500, 0.000)
U (0.250, 0.250, 0.250)
U (0.250, 0.750, 0.750)
U (0.750, 0.250, 0.750)
U (0.750, 0.750, 0.250)
Be (0.250, 0.250, 0.750)
Be (0.250, 0.750, 0.250)
Be (0.750, 0.250, 0.250)
Be (0.750, 0.750, 0.750)

Properties
raw total energy	-50.360	eV for the cell shown
energy above the lowest structure with this stoichiometry	159	kJ/mol of formula units
symmetry	No. 216



Entry 2:
VASP calculation (PBE) on a geometry-optimized DyEr2Sn4Au4 structure.

Lattice parameters (Å, degrees): 8.839 8.839 8.839 150.26 131.55 57.89
Fractional coordinates of all 11 atoms:
Dy (0.000, 0.000, 0.000)
Er (0.371, 0.871, 0.500)
Er (0.629, 0.129, 0.500)
Sn (0.213, 0.213, 0.000)
Sn (0.303, 0.500, 0.803)
Sn (0.697, 0.500, 0.197)
Sn (0.787, 0.787, 0.000)
Au (0.037, 0.331, 0.706)
Au (0.375, 0.669, 0.706)
Au (0.625, 0.331, 0.294)
Au (0.963, 0.669, 0.294)

Properties
raw total energy	-49.556	eV for the cell shown
symmetry	No. 71



Entry 3:
VASP calculation (PBE) on a geometry-optimized TbCuSbP structure.

Lattice parameters (Å, degrees): 3.999 3.999 10.284 90.00 90.00 90.00
Fractional coordinates of all 8 atoms:
Tb (0.250, 0.250, 0.206)
Tb (0.750, 0.750, 0.794)
Cu (0.250, 0.750, 0.500)
Cu (0.750, 0.250, 0.500)
Sb (0.250, 0.250, 0.667)
Sb (0.750, 0.750, 0.333)
P (0.250, 0.750, 0.000)
P (0.750, 0.250, 0.000)

Properties
raw total energy	-40.631	eV for the cell shown
energy above the lowest structure with this stoichiometry	43	kJ/mol of formula units
symmetry	No. 129



Entry 4:
VASP calculation (PBE) on a geometry-optimized AcOsO3 structure.

Lattice parameters (Å, degrees): 4.019 4.019 4.046 90.00 90.00 90.00
Fractional coordinates of all 5 atoms:
Ac (0.000, 0.000, 0.000)
Os (0.500, 0.500, 0.502)
O (0.000, 0.500, 0.540)
O (0.500, 0.000, 0.540)
O (0.500, 0.500, 0.001)

Properties
raw total energy	-39.035	eV for the cell shown
symmetry	No. 99



Entry 5:
VASP calculation (PBE) on a geometry-optimized ErNpAg structure.

Lattice parameters (Å, degrees): 6.682 6.682 6.682 90.00 90.00 90.00
Fractional coordinates of all 12 atoms:
Er (0.000, 0.000, 0.000)
Er (0.000, 0.500, 0.500)
Er (0.500, 0.000, 0.500)
Er (0.500, 0.500, 0.000)
Np (0.250, 0.250, 0.250)
Np (0.250, 0.750, 0.750)
Np (0.750, 0.250, 0.750)
Np (0.750, 0.750, 0.250)
Ag (0.250, 0.250, 0.750)
Ag (0.250, 0.750, 0.250)
Ag (0.750, 0.250, 0.250)
Ag (0.750, 0.750, 0.750)

Properties
raw total energy	-68.898	eV for the cell shown
symmetry	No. 216



Entry 6:
VASP calculation (PBE) on a geometry-optimized HoErGa2I2 structure.

Lattice parameters (Å, degrees): 4.178 4.178 12.094 90.00 90.00 120.00
Fractional coordinates of all 6 atoms:
Ho (0.000, 0.000, 0.000)
Er (0.000, 0.000, 0.670)
Ga (0.333, 0.667, 0.863)
Ga (0.667, 0.333, 0.807)
I (0.333, 0.667, 0.506)
I (0.667, 0.333, 0.164)

Properties
raw total energy	-24.331	eV for the cell shown
symmetry	No. 156



Entry 7:
VASP calculation (PBE) on a geometry-optimized NdSiPb structure.

Lattice parameters (Å, degrees): 7.057 7.057 7.057 90.00 90.00 90.00
Fractional coordinates of all 12 atoms:
Nd (0.000, 0.000, 0.000)
Nd (0.000, 0.500, 0.500)
Nd (0.500, 0.000, 0.500)
Nd (0.500, 0.500, 0.000)
Si (0.250, 0.250, 0.250)
Si (0.250, 0.750, 0.750)
Si (0.750, 0.250, 0.750)
Si (0.750, 0.750, 0.250)
Pb (0.000, 0.000, 0.500)
Pb (0.000, 0.500, 0.000)
Pb (0.500, 0.000, 0.000)
Pb (0.500, 0.500, 0.500)

Properties
raw total energy	-57.008	eV for the cell shown
symmetry	No. 216



Entry 8:
VASP calculation (PBE) on a geometry-optimized Lu7Pt2Se2 structure.

Lattice parameters (Å, degrees): 8.934 8.934 8.934 155.17 67.87 117.98
Fractional coordinates of all 11 atoms:
Lu (0.000, 0.000, 0.000)
Lu (0.058, 0.376, 0.682)
Lu (0.104, 0.742, 0.363)
Lu (0.379, 0.742, 0.637)
Lu (0.464, 0.588, 0.876)
Lu (0.695, 0.376, 0.318)
Lu (0.712, 0.588, 0.124)
Pt (0.315, 0.077, 0.238)
Pt (0.839, 0.077, 0.762)
Se (0.344, 0.344, 0.000)
Se (0.741, 0.241, 0.500)

Properties
raw total energy	-63.517	eV for the cell shown
symmetry	No. 44



Entry 9:
VASP calculation (PBE) on a geometry-optimized LuNb2Co structure.

Lattice parameters (Å, degrees): 6.548 6.548 6.548 90.00 90.00 90.00
Fractional coordinates of all 16 atoms:
Lu (0.000, 0.000, 0.000)
Lu (0.000, 0.500, 0.500)
Lu (0.500, 0.000, 0.500)
Lu (0.500, 0.500, 0.000)
Nb (0.000, 0.000, 0.500)
Nb (0.000, 0.500, 0.000)
Nb (0.250, 0.250, 0.750)
Nb (0.250, 0.750, 0.250)
Nb (0.500, 0.000, 0.000)
Nb (0.500, 0.500, 0.500)
Nb (0.750, 0.250, 0.250)
Nb (0.750, 0.750, 0.750)
Co (0.250, 0.250, 0.250)
Co (0.250, 0.750, 0.750)
Co (0.750, 0.250, 0.750)
Co (0.750, 0.750, 0.250)

Properties
raw total energy	-124.183	eV for the cell shown
symmetry	No. 216



Entry 10:
VASP calculation (PBE) on a geometry-optimized LaTmB structure.

Lattice parameters (Å, degrees): 6.529 6.529 6.529 90.00 90.00 90.00
Fractional coordinates of all 12 atoms:
La (0.000, 0.000, 0.000)
La (0.000, 0.500, 0.500)
La (0.500, 0.000, 0.500)
La (0.500, 0.500, 0.000)
Tm (0.000, 0.000, 0.500)
Tm (0.000, 0.500, 0.000)
Tm (0.500, 0.000, 0.000)
Tm (0.500, 0.500, 0.500)
B (0.250, 0.250, 0.250)
B (0.250, 0.750, 0.750)
B (0.750, 0.250, 0.750)
B (0.750, 0.750, 0.250)

Properties
raw total energy	-62.566	eV for the cell shown
energy above the lowest structure with this stoichiometry	0	kJ/mol of formula units
symmetry	No. 216



Entry 11:
VASP calculation (PBE) on a geometry-optimized Ta structure.

Lattice parameters (Å, degrees): 7.215 7.215 7.215 90.00 90.00 90.00
Fractional coordinates of all 20 atoms:
Ta (0.047, 0.125, 0.797)
Ta (0.066, 0.934, 0.434)
Ta (0.125, 0.797, 0.047)
Ta (0.184, 0.184, 0.184)
Ta (0.203, 0.547, 0.375)
Ta (0.297, 0.453, 0.875)
Ta (0.316, 0.816, 0.684)
Ta (0.375, 0.203, 0.547)
Ta (0.434, 0.066, 0.934)
Ta (0.453, 0.875, 0.297)
Ta (0.547, 0.375, 0.203)
Ta (0.566, 0.566, 0.566)
Ta (0.625, 0.703, 0.953)
Ta (0.684, 0.316, 0.816)
Ta (0.703, 0.953, 0.625)
Ta (0.797, 0.047, 0.125)
Ta (0.816, 0.684, 0.316)
Ta (0.875, 0.297, 0.453)
Ta (0.934, 0.434, 0.066)
Ta (0.953, 0.625, 0.703)

Properties
raw total energy	-234.208	eV for the cell shown
energy above the lowest structure with this stoichiometry	14	kJ/mol of formula units
symmetry	No. 213



Entry 12:
VASP calculation (PBE) on a geometry-optimized KSmTmSe3 structure.

Lattice parameters (Å, degrees): 7.978 7.978 11.384 90.00 90.00 147.14
Fractional coordinates of all 12 atoms:
K (0.240, 0.760, 0.750)
K (0.760, 0.240, 0.250)
Sm (0.500, 0.500, 0.000)
Sm (0.500, 0.500, 0.500)
Tm (0.032, 0.968, 0.250)
Tm (0.968, 0.032, 0.750)
Se (0.127, 0.873, 0.054)
Se (0.127, 0.873, 0.446)
Se (0.434, 0.566, 0.250)
Se (0.566, 0.434, 0.750)
Se (0.873, 0.127, 0.554)
Se (0.873, 0.127, 0.946)

Properties
raw total energy	-59.967	eV for the cell shown
symmetry	No. 63



Entry 13:
VASP calculation (PBE) on a geometry-optimized LiAs5W3 structure.

Lattice parameters (Å, degrees): 5.404 5.404 7.891 90.00 90.00 120.00
Fractional coordinates of all 9 atoms:
Li (0.000, 0.000, 0.000)
As (0.000, 0.000, 0.500)
As (0.333, 0.667, 0.226)
As (0.333, 0.667, 0.774)
As (0.667, 0.333, 0.226)
As (0.667, 0.333, 0.774)
W (0.000, 0.500, 0.500)
W (0.500, 0.000, 0.500)
W (0.500, 0.500, 0.500)

Properties
raw total energy	-62.475	eV for the cell shown
symmetry	No. 191



Entry 14:
VASP calculation (PBE) on a geometry-optimized YCuGeMo structure.

Lattice parameters (Å, degrees): 6.536 6.536 6.536 90.00 90.00 90.00
Fractional coordinates of all 16 atoms:
Y (0.000, 0.000, 0.000)
Y (0.000, 0.500, 0.500)
Y (0.500, 0.000, 0.500)
Y (0.500, 0.500, 0.000)
Cu (0.250, 0.250, 0.750)
Cu (0.250, 0.750, 0.250)
Cu (0.750, 0.250, 0.250)
Cu (0.750, 0.750, 0.750)
Ge (0.000, 0.000, 0.500)
Ge (0.000, 0.500, 0.000)
Ge (0.500, 0.000, 0.000)
Ge (0.500, 0.500, 0.500)
Mo (0.250, 0.250, 0.250)
Mo (0.250, 0.750, 0.750)
Mo (0.750, 0.250, 0.750)
Mo (0.750, 0.750, 0.250)

Properties
raw total energy	-98.014	eV for the cell shown
energy above the lowest structure with this stoichiometry	0	kJ/mol of formula units
symmetry	No. 216



Entry 15:
VASP calculation (PBE) on a geometry-optimized FeTcSnIr structure.

Lattice parameters (Å, degrees): 6.283 6.283 6.283 90.00 90.00 90.00
Fractional coordinates of all 16 atoms:
Fe (0.000, 0.000, 0.000)
Fe (0.000, 0.500, 0.500)
Fe (0.500, 0.000, 0.500)
Fe (0.500, 0.500, 0.000)
Tc (0.250, 0.250, 0.250)
Tc (0.250, 0.750, 0.750)
Tc (0.750, 0.250, 0.750)
Tc (0.750, 0.750, 0.250)
Sn (0.250, 0.250, 0.750)
Sn (0.250, 0.750, 0.250)
Sn (0.750, 0.250, 0.250)
Sn (0.750, 0.750, 0.750)
Ir (0.000, 0.000, 0.500)
Ir (0.000, 0.500, 0.000)
Ir (0.500, 0.000, 0.000)
Ir (0.500, 0.500, 0.500)

Properties
raw total energy	-122.761	eV for the cell shown
energy above the lowest structure with this stoichiometry	0	kJ/mol of formula units
symmetry	No. 216



Entry 16:
VASP calculation (PBE) on a geometry-optimized SrZnSeO structure.

Lattice parameters (Å, degrees): 6.146 4.043 13.699 90.00 90.00 90.00
Fractional coordinates of all 16 atoms:
Sr (0.240, 0.250, 0.101)
Sr (0.260, 0.750, 0.601)
Sr (0.740, 0.250, 0.399)
Sr (0.760, 0.750, 0.899)
Zn (0.165, 0.250, 0.812)
Zn (0.335, 0.750, 0.312)
Zn (0.665, 0.250, 0.688)
Zn (0.835, 0.750, 0.188)
Se (0.239, 0.250, 0.414)
Se (0.261, 0.750, 0.914)
Se (0.739, 0.250, 0.086)
Se (0.761, 0.750, 0.586)
O (0.161, 0.750, 0.193)
O (0.339, 0.250, 0.693)
O (0.661, 0.750, 0.307)
O (0.839, 0.250, 0.807)

Properties
raw total energy	-73.862	eV for the cell shown
symmetry	No. 62



Entry 17:
VASP calculation (PBE) on a geometry-optimized CsPdO3 structure.

Lattice parameters (Å, degrees): 6.351 9.483 6.642 90.00 90.00 90.00
Fractional coordinates of all 20 atoms:
Cs (0.000, 0.000, 0.000)
Cs (0.000, 0.500, 0.000)
Cs (0.500, 0.000, 0.500)
Cs (0.500, 0.500, 0.500)
Pd (0.021, 0.250, 0.420)
Pd (0.479, 0.750, 0.920)
Pd (0.521, 0.250, 0.080)
Pd (0.979, 0.750, 0.580)
O (0.003, 0.557, 0.433)
O (0.003, 0.943, 0.433)
O (0.214, 0.750, 0.773)
O (0.286, 0.250, 0.273)
O (0.497, 0.057, 0.933)
O (0.497, 0.443, 0.933)
O (0.503, 0.557, 0.067)
O (0.503, 0.943, 0.067)
O (0.714, 0.750, 0.727)
O (0.786, 0.250, 0.227)
O (0.997, 0.057, 0.567)
O (0.997, 0.443, 0.567)

Properties
raw total energy	-92.689	eV for the cell shown
symmetry	No. 62



Entry 18:
VASP calculation (PBE) on a geometry-optimized CdTePbO structure.

Lattice parameters (Å, degrees): 6.753 7.505 8.177 90.00 90.00 90.00
Fractional coordinates of all 16 atoms:
Cd (0.066, 0.182, 0.397)
Cd (0.434, 0.818, 0.897)
Cd (0.566, 0.318, 0.603)
Cd (0.934, 0.682, 0.103)
Te (0.145, 0.810, 0.378)
Te (0.355, 0.190, 0.878)
Te (0.645, 0.690, 0.622)
Te (0.855, 0.310, 0.122)
Pb (0.074, 0.539, 0.679)
Pb (0.426, 0.461, 0.179)
Pb (0.574, 0.961, 0.321)
Pb (0.926, 0.039, 0.821)
O (0.117, 0.739, 0.886)
O (0.383, 0.261, 0.386)
O (0.617, 0.761, 0.114)
O (0.883, 0.239, 0.614)

Properties
raw total energy	-61.379	eV for the cell shown
energy above the lowest structure with this stoichiometry	7	kJ/mol of formula units
symmetry	No. 19



Entry 19:
VASP calculation (PBE) on a geometry-optimized AuBr8N structure.

Lattice parameters (Å, degrees): 8.273 8.862 9.616 94.92 99.68 91.12
Fractional coordinates of all 20 atoms:
Au (0.011, 0.135, 0.189)
Au (0.989, 0.865, 0.811)
Br (0.043, 0.682, 0.991)
Br (0.061, 0.929, 0.347)
Br (0.093, 0.593, 0.570)
Br (0.277, 0.855, 0.773)
Br (0.310, 0.155, 0.179)
Br (0.385, 0.269, 0.879)
Br (0.408, 0.481, 0.243)
Br (0.421, 0.228, 0.552)
Br (0.579, 0.772, 0.448)
Br (0.592, 0.519, 0.757)
Br (0.615, 0.731, 0.121)
Br (0.690, 0.845, 0.821)
Br (0.723, 0.145, 0.227)
Br (0.907, 0.407, 0.430)
Br (0.939, 0.071, 0.653)
Br (0.957, 0.318, 0.009)
N (0.486, 0.692, 0.261)
N (0.514, 0.308, 0.739)

Properties
raw total energy	-44.471	eV for the cell shown
symmetry	No. 2



Entry 20:
VASP calculation (PBE) on a geometry-optimized Hf2AgAu3 structure.

Lattice parameters (Å, degrees): 3.570 3.570 8.814 90.00 90.00 90.00
Fractional coordinates of all 6 atoms:
Hf (0.000, 0.000, 0.000)
Hf (0.500, 0.500, 0.493)
Ag (0.500, 0.500, 0.825)
Au (0.000, 0.000, 0.329)
Au (0.000, 0.000, 0.665)
Au (0.500, 0.500, 0.159)

Properties
raw total energy	-35.171	eV for the cell shown
symmetry	No. 99